Here is an optimized crystal structure of CaZr2Sc from Alexandria. Energies are from PBE-GGA.

The calculation puts the density at 4.13 g/cm³. The formation enthalpy at 0 K comes out at 0.1579 eV per atom. The energy above the most stable polymorph in this dataset comes out at 0.000 eV per atom.

It has space group P4mm (No. 99), with a = 3.2489 Å, b = 3.2489 Å, c = 10.1889 Å, α = 90.00°, β = 90.00° and γ = 90.00°. The asymmetric unit holds Ca at (0.0000, 0.0000, 0.0000), Zr at (0.0000, 0.0000, 0.5052), Zr at (0.5000, 0.5000, 0.7166) and Sc at (0.5000, 0.5000, 0.2898).